Compound: Y15C19
Source: Alexandria
Functional: GGA-PBE
Structure: relaxed

a b c (Å): 8.1896 8.1896 15.5251
angles (deg): 90.00 90.00 90.00
Last column: nearest neighbours and their distance in Å.
Atoms (fractional coordinates):
Y: 0.0000 0.0000 0.0000  6 C 2.53-2.62
Y: 0.0000 0.0000 0.3304  6 C 2.60-2.63
Y: 0.0000 0.0000 0.6696  6 C 2.60-2.63
Y: 0.0932 0.2971 0.5000  6 C 2.52-2.67
Y: 0.0981 0.7154 0.1502  3 C 2.34-2.62
Y: 0.0981 0.7154 0.8498  3 C 2.34-2.62
Y: 0.2029 0.4068 0.0000  6 C 2.52-2.67
Y: 0.2154 0.5981 0.3498  3 C 2.34-2.62
Y: 0.2154 0.5981 0.6502  3 C 2.34-2.62
Y: 0.2846 0.0981 0.1502  3 C 2.34-2.62
Y: 0.2846 0.0981 0.8498  3 C 2.34-2.62
Y: 0.2971 0.9068 0.5000  6 C 2.52-2.67
Y: 0.4019 0.2154 0.3498  3 C 2.34-2.62
Y: 0.4019 0.2154 0.6502  3 C 2.34-2.62
Y: 0.4068 0.7971 0.0000  6 C 2.52-2.67
Y: 0.5000 0.5000 0.1696  6 C 2.60-2.63
Y: 0.5000 0.5000 0.5000  6 C 2.53-2.62
Y: 0.5000 0.5000 0.8304  6 C 2.60-2.63
Y: 0.5932 0.2029 0.0000  6 C 2.52-2.67
Y: 0.5981 0.7846 0.3498  3 C 2.34-2.62
Y: 0.5981 0.7846 0.6502  3 C 2.34-2.62
Y: 0.7029 0.0932 0.5000  6 C 2.52-2.67
Y: 0.7154 0.9019 0.1502  3 C 2.34-2.62
Y: 0.7154 0.9019 0.8498  3 C 2.34-2.62
Y: 0.7846 0.4019 0.3498  3 C 2.34-2.62
Y: 0.7846 0.4019 0.6502  3 C 2.34-2.62
Y: 0.7971 0.5932 0.0000  6 C 2.52-2.67
Y: 0.9019 0.2846 0.1502  3 C 2.34-2.62
Y: 0.9019 0.2846 0.8498  3 C 2.34-2.62
Y: 0.9068 0.7029 0.5000  6 C 2.52-2.67
C: 0.0000 0.0000 0.1629  6 Y 2.47-2.60
C: 0.0000 0.0000 0.5000  6 Y 2.55-2.63
C: 0.0000 0.0000 0.8371  6 Y 2.47-2.60
C: 0.0962 0.3028 0.3280  1 C 1.35
C: 0.0962 0.3028 0.6720  1 C 1.35
C: 0.1021 0.6969 0.0000  3 Y 2.34-2.52
C: 0.1512 0.3488 0.2500  2 C 1.35
C: 0.1512 0.3488 0.7500  2 C 1.35
C: 0.1972 0.4038 0.1720  1 C 1.35
C: 0.1972 0.4038 0.8280  1 C 1.35
C: 0.1969 0.6021 0.5000  3 Y 2.34-2.52
C: 0.3031 0.1021 0.0000  3 Y 2.34-2.52
C: 0.3028 0.9038 0.3280  1 C 1.35
C: 0.3028 0.9038 0.6720  1 C 1.35
C: 0.3488 0.8488 0.2500  2 C 1.35
C: 0.3488 0.8488 0.7500  2 C 1.35
C: 0.3979 0.1969 0.5000  3 Y 2.34-2.52
C: 0.4038 0.8028 0.1720  1 C 1.35
C: 0.4038 0.8028 0.8280  1 C 1.35
C: 0.5000 0.5000 0.0000  6 Y 2.55-2.63
C: 0.5000 0.5000 0.3371  6 Y 2.47-2.60
C: 0.5000 0.5000 0.6629  6 Y 2.47-2.60
C: 0.5962 0.1972 0.1720  1 C 1.35
C: 0.5962 0.1972 0.8280  1 C 1.35
C: 0.6021 0.8031 0.5000  3 Y 2.34-2.52
C: 0.6512 0.1512 0.2500  2 C 1.35
C: 0.6512 0.1512 0.7500  2 C 1.35
C: 0.6972 0.0962 0.3280  1 C 1.35
C: 0.6972 0.0962 0.6720  1 C 1.35
C: 0.6969 0.8979 0.0000  3 Y 2.34-2.52
C: 0.8031 0.3979 0.5000  3 Y 2.34-2.52
C: 0.8028 0.5962 0.1720  1 C 1.35
C: 0.8028 0.5962 0.8280  1 C 1.35
C: 0.8488 0.6512 0.2500  2 C 1.35
C: 0.8488 0.6512 0.7500  2 C 1.35
C: 0.8979 0.3031 0.0000  3 Y 2.34-2.52
C: 0.9038 0.6972 0.3280  1 C 1.35
C: 0.9038 0.6972 0.6720  1 C 1.35

Its space-group type is P4/mnc (128). The formation energy is -10.6 eV/f.u.